An optimized crystal structure of Mn2ZnTc. Source: the Alexandria database, functional GGA-PBE.

Cell: 2.6526 2.6526 7.3945 Å, 90.00 90.00 90.00°
Last column: nearest neighbours and their distance in Å.
Sites, in units of the cell vectors:
Mn: 0.0000 0.0000 0.0000  8 Mn 2.50-2.65, 4 Zn 2.66
Mn: 0.5000 0.5000 0.2237  8 Mn 2.50-2.65, 4 Tc 2.61
Zn: 0.5000 0.5000 0.7455  4 Zn 2.65, 4 Mn 2.66, 4 Tc 2.78
Tc: 0.0000 0.0000 0.4682  4 Mn 2.61, 4 Tc 2.65, 4 Zn 2.78

Calculated values
formation energy: 88 meV per atom
V: 52.0 Å³ per cell
electronic total energy: -7.41 eV/atom
crystal system: tetragonal
D(E_F): 4.3 states/eV/cell

An optimized crystal structure of MnZn2Tc2. Source: the Alexandria database, functional GGA-PBE.

Cell: 6.4569 6.4569 3.4572 Å, 90.00 90.00 90.00°
Last column: nearest neighbours and their distance in Å.
Sites, in units of the cell vectors:
Mn: 0.0000 0.0000 0.0000  4 Zn 2.54
Mn: 0.5000 0.5000 0.0000  4 Zn 2.54
Zn: 0.1291 0.3709 0.0000  1 Zn 2.36, 6 Tc 2.50-2.62, 2 Mn 2.54
Zn: 0.3709 0.8709 0.0000  1 Zn 2.36, 6 Tc 2.50-2.62, 2 Mn 2.54
Zn: 0.6291 0.1291 0.0000  1 Zn 2.36, 6 Tc 2.50-2.62, 2 Mn 2.54
Zn: 0.8709 0.6291 0.0000  1 Zn 2.36, 6 Tc 2.50-2.62, 2 Mn 2.54
Tc: 0.1733 0.6733 0.5000  6 Zn 2.50-2.62
Tc: 0.3267 0.1733 0.5000  6 Zn 2.50-2.62
Tc: 0.6733 0.8267 0.5000  6 Zn 2.50-2.62
Tc: 0.8267 0.3267 0.5000  6 Zn 2.50-2.62

Calculated values
formation energy: 332 meV per atom
V: 144.1 Å³ per cell
electronic total energy: -6.16 eV/atom
crystal system: tetragonal
D(E_F): 5.6 states/eV/cell

An optimized crystal structure of MnZnTc. Source: the Alexandria database, functional GGA-PBE.

Cell: 4.2038 4.2038 2.6201 Å, 90.00 90.00 120.00°
Last column: nearest neighbours and their distance in Å.
Sites, in units of the cell vectors:
Mn: 0.0000 0.0000 0.0000  3 Tc 2.52, 3 Zn 2.56, 2 Mn 2.62
Zn: 0.3333 0.6667 0.6884  3 Mn 2.56, 2 Zn 2.62, 6 Tc 2.68-2.84
Tc: 0.6667 0.3333 0.2544  3 Mn 2.52, 2 Tc 2.62, 3 Zn 2.68

Calculated values
formation energy: 88 meV per atom
energy relative to the lowest polymorph listed for this composition: 0.19 eV/f.u.
V: 40.1 Å³ per cell
electronic total energy: -6.85 eV/atom
crystal system: trigonal
D(E_F): 1.9 states/eV/cell

An optimized crystal structure of Mn2ZnTc. Source: the Alexandria database, functional GGA-PBE.

Cell: 2.5898 4.1235 5.0145 Å, 90.00 102.53 90.00°
Last column: nearest neighbours and their distance in Å.
Sites, in units of the cell vectors:
Mn: 0.0000 0.0000 0.0000  2 Tc 2.48, 2 Zn 2.53-2.59, 4 Mn 2.58-2.59
Mn: 0.2182 0.5000 0.7342  2 Tc 2.53-2.60, 2 Zn 2.53, 4 Mn 2.58-2.59
Zn: 0.4931 0.0000 0.5074  4 Mn 2.53-2.59, 2 Zn 2.59, 2 Tc 2.69
Tc: 0.7560 0.5000 0.2192  4 Mn 2.48-2.60, 2 Tc 2.59, 2 Zn 2.69

Calculated values
formation energy: 154 meV per atom
V: 52.3 Å³ per cell
electronic total energy: -7.34 eV/atom
crystal system: monoclinic
D(E_F): 3.9 states/eV/cell